Below is LiIrSe2Br at its PBEsol-relaxed geometry, with properties calculated at the meta-GGA SCAN level.

uncorrected formation energy	0.04	eV per formula unit
theoretical density	5.823	Mg/m³

abc: 4.7917 4.7917 5.4275
angles: 90.00 90.00 90.00
Last column: nearest neighbours and their distance in Å.
Space group P4/mmm (No. 123)
Symmetry-distinct sites (fractional):
Li 0.0000 0.0000 0.0000 (multiplicity 1)  4 Br 3.39, 8 Se 3.62
Ir 0.5000 0.5000 0.5000 (multiplicity 1)  4 Se 2.40
Se 0.0000 0.5000 0.5000 (multiplicity 2)  2 Ir 2.40
Br 0.5000 0.5000 0.0000 (multiplicity 1)  2 Ir 2.71


Below is LiIrSeBr2 at its PBEsol-relaxed geometry, with properties calculated at the meta-GGA SCAN level.

uncorrected formation energy	-0.90	eV per formula unit
theoretical density	5.583	Mg/m³

abc: 5.3277 5.3277 4.5886
angles: 90.00 90.00 90.00
Last column: nearest neighbours and their distance in Å.
Space group P4/mmm (No. 123)
Symmetry-distinct sites (fractional):
Li 0.0000 0.0000 0.0000 (multiplicity 1)  8 Br 3.52, 4 Se 3.77
Ir 0.5000 0.5000 0.5000 (multiplicity 1)  2 Se 2.29
Se 0.5000 0.5000 0.0000 (multiplicity 1)  2 Ir 2.29
Br 0.0000 0.5000 0.5000 (multiplicity 2)  2 Ir 2.66


Below is MgIrBr at its PBEsol-relaxed geometry, with properties calculated at the meta-GGA SCAN level.

uncorrected formation energy	1.33	eV per formula unit
theoretical density	8.419	Mg/m³

abc: 6.1610 6.1610 6.1610
angles: 90.00 90.00 90.00
Last column: nearest neighbours and their distance in Å.
Space group F-43m (No. 216)
Symmetry-distinct sites (fractional):
Mg 0.0000 0.0000 0.0000 (multiplicity 4)  4 Ir 2.67
Ir 0.2500 0.2500 0.7500 (multiplicity 4)  4 Br 2.67, 4 Mg 2.67
Br 0.0000 0.0000 0.5000 (multiplicity 4)  4 Ir 2.67


Below is MnIrBr at its PBEsol-relaxed geometry, with properties calculated at the meta-GGA SCAN level.

uncorrected formation energy	1.66	eV per formula unit
theoretical density	9.795	Mg/m³

abc: 6.0532 6.0532 6.0532
angles: 90.00 90.00 90.00
Last column: nearest neighbours and their distance in Å.
Space group F-43m (No. 216)
Symmetry-distinct sites (fractional):
Mn 0.0000 0.0000 0.0000 (multiplicity 4)  4 Ir 2.62
Ir 0.2500 0.2500 0.7500 (multiplicity 4)  4 Mn 2.62, 4 Br 2.62
Br 0.0000 0.0000 0.5000 (multiplicity 4)  4 Ir 2.62


Below is Mn2IrBr at its PBEsol-relaxed geometry, with properties calculated at the meta-GGA SCAN level.

uncorrected formation energy	0.84	eV per formula unit
theoretical density	10.395	Mg/m³

abc: 2.9983 2.9983 6.7881
angles: 90.00 90.00 90.00
Last column: nearest neighbours and their distance in Å.
Space group P4mm (No. 99)
Symmetry-distinct sites (fractional):
Mn 0.0000 0.0000 0.0000 (multiplicity 1)  4 Ir 2.46, 4 Mn 2.63
Mn 0.5000 0.5000 0.2289 (multiplicity 1)  4 Mn 2.63, 4 Br 2.67, 1 Ir 2.81
Ir 0.5000 0.5000 0.8152 (multiplicity 1)  4 Mn 2.46
Br 0.0000 0.0000 0.4670 (multiplicity 1)  4 Mn 2.67


Below is MnIr2Br at its PBEsol-relaxed geometry, with properties calculated at the meta-GGA SCAN level.

uncorrected formation energy	1.51	eV per formula unit
theoretical density	13.729	Mg/m³

abc: 2.7339 2.7339 29.1085
angles: 90.00 90.00 120.00
Last column: nearest neighbours and their distance in Å.
Space group R-3m (No. 166, hexagonal axes)
Symmetry-distinct sites (fractional):
Mn 0.0000 0.0000 0.0000 (multiplicity 3)  6 Ir 2.51, 6 Mn 2.73
Ir 0.0000 0.0000 0.2663 (multiplicity 6)  3 Mn 2.51, 6 Ir 2.73
Br 0.0000 0.0000 0.5000 (multiplicity 3)  6 Br 2.73


Below is Mn2IrBr at its PBEsol-relaxed geometry, with properties calculated at the meta-GGA SCAN level.

uncorrected formation energy	-0.95	eV per formula unit
theoretical density	9.369	Mg/m³

abc: 3.0822 3.0822 7.1263
angles: 90.00 90.00 90.00
Last column: nearest neighbours and their distance in Å.
Space group P4/mmm (No. 123)
Symmetry-distinct sites (fractional):
Mn 0.0000 0.0000 0.2115 (multiplicity 2)  4 Ir 2.65
Ir 0.5000 0.5000 0.0000 (multiplicity 1)  8 Mn 2.65
Br 0.5000 0.5000 0.5000 (multiplicity 1)  8 Mn 3.00, 4 Br 3.08


Below is MnIr2Br at its PBEsol-relaxed geometry, with properties calculated at the meta-GGA SCAN level.

uncorrected formation energy	3.33	eV per formula unit
theoretical density	14.212	Mg/m³

abc: 4.0677 4.0677 3.6669
angles: 90.00 90.00 90.00
Last column: nearest neighbours and their distance in Å.
Space group P4/mmm (No. 123)
Symmetry-distinct sites (fractional):
Mn 0.0000 0.0000 0.0000 (multiplicity 1)  8 Ir 2.74, 4 Br 2.88
Ir 0.0000 0.5000 0.5000 (multiplicity 2)  4 Br 2.74, 4 Mn 2.74, 4 Ir 2.88
Br 0.5000 0.5000 0.0000 (multiplicity 1)  8 Ir 2.74, 4 Mn 2.88


Below is MnIr2Br at its PBEsol-relaxed geometry, with properties calculated at the meta-GGA SCAN level.

uncorrected formation energy	1.84	eV per formula unit
theoretical density	14.083	Mg/m³

abc: 2.9656 2.9656 6.9615
angles: 90.00 90.00 90.00
Last column: nearest neighbours and their distance in Å.
Space group P4/mmm (No. 123)
Symmetry-distinct sites (fractional):
Mn 0.0000 0.0000 0.0000 (multiplicity 1)  8 Ir 2.53
Ir 0.5000 0.5000 0.2023 (multiplicity 2)  4 Mn 2.53, 1 Ir 2.82
Br 0.0000 0.0000 0.5000 (multiplicity 1)  8 Ir 2.95, 4 Br 2.97


Below is Mn2IrBr at its PBEsol-relaxed geometry, with properties calculated at the meta-GGA SCAN level.

uncorrected formation energy	-0.20	eV per formula unit
theoretical density	9.157	Mg/m³

abc: 3.0498 3.2859 13.8244
angles: 90.00 90.00 90.00
Last column: nearest neighbours and their distance in Å.
Space group Imm2 (No. 44)
Symmetry-distinct sites (fractional):
Mn 0.0000 0.0000 0.0000 (multiplicity 2)  4 Ir 2.49, 2 Br 2.69
Mn 0.0000 0.5000 0.2815 (multiplicity 2)  2 Ir 2.53, 4 Br 2.80
Ir 0.0000 0.0000 0.4209 (multiplicity 2)  6 Mn 2.49-2.53
Br 0.0000 0.5000 0.6601 (multiplicity 2)  6 Mn 2.69-2.80


Below is YMnIr2Br at its PBEsol-relaxed geometry, with properties calculated at the meta-GGA SCAN level.

uncorrected formation energy	4.94	eV per formula unit
theoretical density	9.457	Mg/m³

abc: 4.6472 4.6472 4.9448
angles: 90.00 90.00 90.00
Last column: nearest neighbours and their distance in Å.
Space group P4/mmm (No. 123)
Symmetry-distinct sites (fractional):
Y 0.0000 0.0000 0.0000 (multiplicity 1)  2 Br 2.47
Mn 0.5000 0.5000 0.0000 (multiplicity 1)  4 Y 3.29, 8 Ir 3.39
Ir 0.0000 0.5000 0.5000 (multiplicity 2)  2 Br 2.32
Br 0.0000 0.0000 0.5000 (multiplicity 1)  4 Ir 2.32, 2 Y 2.47


Below is MoIrBr2 at its PBEsol-relaxed geometry, with properties calculated at the meta-GGA SCAN level.

uncorrected formation energy	2.04	eV per formula unit
theoretical density	8.434	Mg/m³

abc: 3.0479 4.2812 13.5181
angles: 90.00 90.00 90.00
Last column: nearest neighbours and their distance in Å.
Space group Immm (No. 71)
Symmetry-distinct sites (fractional):
Mo 0.0000 0.0000 0.0000 (multiplicity 2)  4 Br 2.60, 4 Ir 2.63
Ir 0.0000 0.0000 0.5000 (multiplicity 2)  4 Mo 2.63
Br 0.0000 0.5000 0.3441 (multiplicity 4)  2 Mo 2.60